Record 1
Here is a PBEsol-optimized structure of Cs2ZrSi3O9 from Alexandria via LeMat-Bulk. Energies are from meta-GGA SCAN.

Properties
E_form (uncorrected) in eV per atom: -3.11

a = 7.2106 Å, b = 7.2106 Å, c = 10.3239 Å
α = 90.00°, β = 90.00°, γ = 120.00°
Closest atoms and distances in Å follow each position.
Element x y z (fractional)
Cs 0.3333 0.6667 0.0618  9 O 3.15-3.31
Cs 0.3333 0.6667 0.4382  9 O 3.15-3.31
Cs 0.6667 0.3333 0.5618  9 O 3.15-3.31
Cs 0.6667 0.3333 0.9382  9 O 3.15-3.31
Zr 0.0000 0.0000 0.0000  6 O 2.08
Zr 0.0000 0.0000 0.5000  6 O 2.08
Si 0.1479 0.7599 0.7500  4 O 1.61-1.67
Si 0.2401 0.3880 0.7500  4 O 1.61-1.67
Si 0.3880 0.1479 0.2500  4 O 1.61-1.67
Si 0.6120 0.8521 0.7500  4 O 1.61-1.67
Si 0.7599 0.6120 0.2500  4 O 1.61-1.67
Si 0.8521 0.2401 0.2500  4 O 1.61-1.67
O 0.0527 0.7953 0.6171  1 Si 1.61
O 0.0527 0.7953 0.8829  1 Si 1.61
O 0.0925 0.5057 0.7500  2 Si 1.66-1.67
O 0.2047 0.2574 0.6171  1 Si 1.61
O 0.2047 0.2574 0.8829  1 Si 1.61
O 0.2574 0.0527 0.1171  1 Si 1.61
O 0.2574 0.0527 0.3829  1 Si 1.61
O 0.4131 0.9075 0.7500  2 Si 1.66-1.67
O 0.4943 0.5869 0.7500  2 Si 1.66-1.67
O 0.5057 0.4131 0.2500  2 Si 1.66-1.67
O 0.5869 0.0925 0.2500  2 Si 1.66-1.67
O 0.7426 0.9473 0.6171  1 Si 1.61
O 0.7426 0.9473 0.8829  1 Si 1.61
O 0.7953 0.7426 0.1171  1 Si 1.61
O 0.7953 0.7426 0.3829  1 Si 1.61
O 0.9075 0.4943 0.2500  2 Si 1.66-1.67
O 0.9473 0.2047 0.1171  1 Si 1.61
O 0.9473 0.2047 0.3829  1 Si 1.61


Record 2
Here is a PBEsol-optimized structure of Hf2GeSb from Alexandria via LeMat-Bulk. Energies are from meta-GGA SCAN.

Properties
E_form (uncorrected) in eV per atom: -0.26

a = 4.8202 Å, b = 4.8202 Å, c = 4.8202 Å
α = 60.00°, β = 60.00°, γ = 60.00°
Closest atoms and distances in Å follow each position.
Element x y z (fractional)
Hf 0.2500 0.2500 0.2500  4 Sb 2.95, 4 Ge 2.95
Hf 0.7500 0.7500 0.7500  4 Sb 2.95, 4 Ge 2.95
Ge 0.0000 0.0000 0.0000  8 Hf 2.95
Sb 0.5000 0.5000 0.5000  8 Hf 2.95


Record 3
Here is a PBEsol-optimized structure of KTaHg from Alexandria via LeMat-Bulk. Energies are from meta-GGA SCAN.

Properties
Energy of formation in meV per atom: 2104

a = 5.1880 Å, b = 5.1880 Å, c = 5.1880 Å
α = 60.00°, β = 60.00°, γ = 60.00°
Closest atoms and distances in Å follow each position.
Element x y z (fractional)
K 0.0000 0.0000 0.0000  4 Hg 3.18, 4 Ta 3.18
Ta 0.7500 0.7500 0.7500  4 K 3.18
Hg 0.2500 0.2500 0.2500  4 K 3.18


Record 4
Here is a PBEsol-optimized structure of RbNbNi3 from Alexandria via LeMat-Bulk. Energies are from meta-GGA SCAN.

Properties
Energy of formation in meV per atom: 2444

a = 4.4581 Å, b = 4.4581 Å, c = 4.4581 Å
α = 90.00°, β = 90.00°, γ = 90.00°
Closest atoms and distances in Å follow each position.
Element x y z (fractional)
Rb 0.0000 0.0000 0.0000  6 Ni 2.23
Nb 0.5000 0.5000 0.5000  12 Ni 3.15
Ni 0.0000 0.0000 0.5000  2 Rb 2.23
Ni 0.0000 0.5000 0.0000  2 Rb 2.23
Ni 0.5000 0.0000 0.0000  2 Rb 2.23


Record 5
Here is a PBEsol-optimized structure of Ca2CdSiTc from Alexandria via LeMat-Bulk. Energies are from meta-GGA SCAN.

Properties
E_form (uncorrected) in eV per atom: 0.26

a = 5.4086 Å, b = 5.4086 Å, c = 4.5926 Å
α = 90.00°, β = 90.00°, γ = 90.00°
Closest atoms and distances in Å follow each position.
Element x y z (fractional)
Ca 0.0000 0.5000 0.0000  2 Tc 2.70
Ca 0.5000 0.0000 0.0000  2 Tc 2.70
Cd 0.0000 0.0000 0.5000  8 Ca 3.55, 4 Si 3.82
Si 0.5000 0.5000 0.5000  2 Tc 2.30
Tc 0.5000 0.5000 0.0000  2 Si 2.30


Record 6
Here is a PBEsol-optimized structure of SrMn2Au from Alexandria via LeMat-Bulk. Energies are from meta-GGA SCAN.

Properties
Energy of formation in meV per atom: -64

a = 3.4227 Å, b = 3.4227 Å, c = 7.2263 Å
α = 90.00°, β = 90.00°, γ = 90.00°
Closest atoms and distances in Å follow each position.
Element x y z (fractional)
Sr 0.0000 0.0000 0.0000  8 Mn 3.35, 4 Sr 3.42, 2 Au 3.61
Mn 0.5000 0.5000 0.3199  1 Mn 2.60, 4 Au 2.75
Mn 0.5000 0.5000 0.6801  1 Mn 2.60, 4 Au 2.75
Au 0.0000 0.0000 0.5000  8 Mn 2.75


Record 7
Here is a PBEsol-optimized structure of LiHgN3 from Alexandria via LeMat-Bulk. Energies are from meta-GGA SCAN.

Properties
E_form (uncorrected) in eV per atom: 2.15

a = 4.2809 Å, b = 4.2809 Å, c = 4.2809 Å
α = 90.00°, β = 90.00°, γ = 90.00°
Closest atoms and distances in Å follow each position.
Element x y z (fractional)
Li 0.0000 0.0000 0.0000  12 N 3.03
Hg 0.5000 0.5000 0.5000  6 N 2.14
N 0.0000 0.5000 0.5000  2 Hg 2.14
N 0.5000 0.0000 0.5000  2 Hg 2.14
N 0.5000 0.5000 0.0000  2 Hg 2.14


Record 8
Here is a PBEsol-optimized structure of MoIr2Rh from Alexandria via LeMat-Bulk. Energies are from meta-GGA SCAN.

Properties
ΔE to the lowest computed polymorph in meV per atom: 107
Energy of formation in meV per atom: -200

a = 2.7115 Å, b = 2.7115 Å, c = 7.6963 Å
α = 90.00°, β = 90.00°, γ = 90.00°
Closest atoms and distances in Å follow each position.
Element x y z (fractional)
Mo 0.0000 0.0000 0.0000  4 Mo 2.71, 8 Ir 2.72
Ir 0.5000 0.5000 0.2499  4 Ir 2.71, 4 Mo 2.72, 4 Rh 2.72
Ir 0.5000 0.5000 0.7501  4 Ir 2.71, 4 Mo 2.72, 4 Rh 2.72
Rh 0.0000 0.0000 0.5000  4 Rh 2.71, 8 Ir 2.72